Record 1
Computed, not measured: crystalline Tl6SnBr8 at its relaxed geometry at the PBE level of DFT.

abc: 8.709 8.709 8.709
angles: 69.76 69.76 69.76
Fractional positions:
1 Tl 0.021 0.801 0.445
2 Tl 0.199 0.555 0.979
3 Tl 0.445 0.021 0.801
4 Tl 0.555 0.979 0.199
5 Tl 0.801 0.445 0.021
6 Tl 0.979 0.199 0.555
7 Sn 0.500 0.500 0.500
8 Br 0.168 0.168 0.168
9 Br 0.169 0.407 0.666
10 Br 0.334 0.831 0.593
11 Br 0.407 0.666 0.169
12 Br 0.593 0.334 0.831
13 Br 0.666 0.169 0.407
14 Br 0.831 0.593 0.334
15 Br 0.832 0.832 0.832

Summary:
**Space-group type**: No. 148
**Crystal system**: trigonal

Record 2
Computed, not measured: crystalline Tl2SnBr at its relaxed geometry at the PBE level of DFT.

abc: 9.187 9.187 9.187
angles: 137.03 137.03 62.39
Fractional positions:
1 Tl 0.100 0.625 0.975
2 Tl 0.375 0.350 0.475
3 Tl 0.650 0.125 0.025
4 Tl 0.875 0.900 0.525
5 Sn 0.000 0.000 0.000
6 Sn 0.750 0.250 0.500
7 Br 0.250 0.750 0.500
8 Br 0.500 0.500 0.000

Summary:
**Space-group type**: No. 122
**Crystal system**: tetragonal
**Offset from the most stable computed form**: 0.712 eV/f.u.

Record 3
Computed, not measured: crystalline TlSnBr6 at its relaxed geometry at the PBE level of DFT.

abc: 7.657 7.657 7.657
angles: 54.91 54.91 54.91
Fractional positions:
1 Tl 0.000 0.000 0.000
2 Sn 0.500 0.500 0.500
3 Br 0.101 0.445 0.721
4 Br 0.279 0.899 0.555
5 Br 0.445 0.721 0.101
6 Br 0.555 0.279 0.899
7 Br 0.721 0.101 0.445
8 Br 0.899 0.555 0.279

Summary:
**Space-group type**: No. 148
**Crystal system**: trigonal

Record 4
Computed, not measured: crystalline Tl2Sn2Br7 at its relaxed geometry at the PBE level of DFT.

abc: 8.186 8.186 7.062
angles: 93.78 93.78 94.82
Fractional positions:
1 Tl 0.215 0.785 0.000
2 Tl 0.785 0.215 0.000
3 Sn 0.277 0.277 0.510
4 Sn 0.778 0.778 0.415
5 Br 0.030 0.030 0.341
6 Br 0.103 0.416 0.772
7 Br 0.416 0.103 0.772
8 Br 0.530 0.530 0.437
9 Br 0.555 0.982 0.259
10 Br 0.843 0.843 0.796
11 Br 0.982 0.555 0.259

Summary:
**Space-group type**: No. 8
**Crystal system**: monoclinic
**Offset from the most stable computed form**: 0.000 eV/f.u.

Record 5
Computed, not measured: crystalline Tl3SnBr at its relaxed geometry at the PBE level of DFT.

abc: 6.055 6.055 6.055
angles: 90.00 90.00 90.00
Fractional positions:
1 Tl 0.000 0.000 0.500
2 Tl 0.000 0.500 0.000
3 Tl 0.500 0.000 0.000
4 Sn 0.000 0.000 0.000
5 Br 0.500 0.500 0.500

Summary:
**Space-group type**: No. 221
**Crystal system**: cubic
**Offset from the most stable computed form**: 0.000 eV/f.u.

Record 6
Computed, not measured: crystalline TlSn3Br7 at its relaxed geometry at the PBE level of DFT.

abc: 7.370 7.370 7.436
angles: 102.66 102.66 96.97
Fractional positions:
1 Tl 0.000 0.000 0.000
2 Sn 0.271 0.729 0.500
3 Sn 0.500 0.500 0.000
4 Sn 0.729 0.271 0.500
5 Br 0.000 0.000 0.500
6 Br 0.121 0.538 0.773
7 Br 0.346 0.346 0.283
8 Br 0.462 0.879 0.227
9 Br 0.538 0.121 0.773
10 Br 0.654 0.654 0.717
11 Br 0.879 0.462 0.227

Summary:
**Space-group type**: No. 12
**Crystal system**: monoclinic

Raw formation energy (computed, kJ/mol of formula units): -1203 -24 -406 -769 6 -785